## AlMoW2 (PBE-GGA)

Data for a relaxed AlMoW2 crystal.

The calculated density is 12.8 g/cm3. The formation energy comes out at 13.4 kJ per mole of atoms. The density of states at the Fermi level comes out at 2.80 states/eV per cell. Its space group is Pmmm.

Cell: 2.6833 4.3999 5.3913 Å, 90.00 90.00 90.00°
Closest atoms and distances in Å follow each position.
Fractional positions:
Al 0.5000 0.5000 0.2500  2 Al 2.68, 2 Mo 2.70, 8 W 2.89
W 0.0000 0.0000 0.0062  4 W 2.63-2.76, 4 Al 2.89, 4 Mo 2.92
W 0.0000 0.0000 0.4938  4 W 2.63-2.76, 4 Al 2.89, 4 Mo 2.92
Mo 0.5000 0.5000 0.7500  2 Mo 2.68, 2 Al 2.70, 8 W 2.92